Version w
The following is a PBE calculation of BaNa2Tl9 after structural relaxation, from the Alexandria database.

Computed properties:
Size of the total moment: 0.0 Bohr magnetons per cell
Symmetry: P6/mmm, No. 191
Crystal system: hexagonal

Cell: 10.985 10.985 3.569 Å, 90.00 90.00 120.00°
Sites, in units of the cell vectors:
Ba 0.000 0.000 0.000
Na 0.333 0.667 0.000
Na 0.667 0.333 0.000
Tl 0.000 0.500 0.000
Tl 0.177 0.353 0.500
Tl 0.177 0.823 0.500
Tl 0.353 0.177 0.500
Tl 0.500 0.000 0.000
Tl 0.500 0.500 0.000
Tl 0.647 0.823 0.500
Tl 0.823 0.177 0.500
Tl 0.823 0.647 0.500

Version x
The following is a PBE calculation of BaNa2Tl9 after structural relaxation, from the Alexandria database.

Computed properties:
Size of the total moment: 0.0 Bohr magnetons per cell
Symmetry: P4/mmm, No. 123
Crystal system: tetragonal

Cell: 5.008 5.008 14.692 Å, 90.00 90.00 90.00°
Sites, in units of the cell vectors:
Ba 0.000 0.000 0.000
Na 0.000 0.000 0.337
Na 0.000 0.000 0.663
Tl 0.000 0.500 0.179
Tl 0.000 0.500 0.500
Tl 0.000 0.500 0.821
Tl 0.500 0.000 0.179
Tl 0.500 0.000 0.500
Tl 0.500 0.000 0.821
Tl 0.500 0.500 0.000
Tl 0.500 0.500 0.335
Tl 0.500 0.500 0.665

Energy ordering: version x at the bottom, the next structure 2.7 kJ/mol of atoms above.

Version w
The following is a PBE calculation of BaNaTl3 after structural relaxation, from the Alexandria database.

Computed properties:
Size of the total moment: 0.0 Bohr magnetons per cell
Symmetry: I4mm, No. 107
Crystal system: tetragonal

Cell: 7.473 7.473 7.473 Å, 140.08 140.08 57.73°
Sites, in units of the cell vectors:
Ba 0.000 0.000 0.000
Na 0.625 0.625 0.000
Tl 0.256 0.756 0.500
Tl 0.400 0.400 0.000
Tl 0.756 0.256 0.500

Version x
The following is a PBE calculation of BaNaTl3 after structural relaxation, from the Alexandria database.

Computed properties:
Size of the total moment: 0.0 Bohr magnetons per cell
Symmetry: Pm-3m, No. 221
Crystal system: cubic

Cell: 6.489 6.489 6.489 Å, 90.00 90.00 90.00°
Sites, in units of the cell vectors:
Ba 0.000 0.000 0.000
Na 0.500 0.500 0.500
Tl 0.000 0.000 0.500
Tl 0.000 0.500 0.000
Tl 0.500 0.000 0.000

Energy ordering: version w at the bottom, the next structure 62.6 kJ/mol of atoms above.

Version w
The following is a PBE calculation of BaNaTl3 after structural relaxation, from the Alexandria database.

Computed properties:
Size of the total moment: 0.0 Bohr magnetons per cell
Symmetry: Pm-3m, No. 221
Crystal system: cubic

Cell: 5.655 5.655 5.655 Å, 90.00 90.00 90.00°
Sites, in units of the cell vectors:
Ba 0.000 0.000 0.000
Na 0.500 0.500 0.500
Tl 0.000 0.500 0.500
Tl 0.500 0.000 0.500
Tl 0.500 0.500 0.000

Version x
The following is a PBE calculation of BaNaTl3 after structural relaxation, from the Alexandria database.

Computed properties:
Size of the total moment: 0.0 Bohr magnetons per cell
Symmetry: P6_3/mmc, No. 194
Crystal system: hexagonal

Cell: 7.741 7.741 13.416 Å, 90.00 90.00 120.00°
Sites, in units of the cell vectors:
Ba 0.000 0.000 0.000
Ba 0.000 0.000 0.500
Ba 0.333 0.667 0.250
Ba 0.667 0.333 0.750
Na 0.333 0.667 0.644
Na 0.333 0.667 0.856
Na 0.667 0.333 0.144
Na 0.667 0.333 0.356
Tl 0.000 0.500 0.000
Tl 0.000 0.500 0.500
Tl 0.135 0.269 0.750
Tl 0.135 0.865 0.750
Tl 0.269 0.135 0.250
Tl 0.500 0.000 0.000
Tl 0.500 0.000 0.500
Tl 0.500 0.500 0.000
Tl 0.500 0.500 0.500
Tl 0.731 0.865 0.750
Tl 0.865 0.135 0.250
Tl 0.865 0.731 0.250

Energy ordering: version x at the bottom, the next structure 9.2 kJ/mol of atoms above.

Version w
The following is a PBE calculation of BaNaTl after structural relaxation, from the Alexandria database.

Computed properties:
Size of the total moment: 0.0 Bohr magnetons per cell
Symmetry: I4mm, No. 107
Crystal system: tetragonal

Cell: 6.699 6.699 6.699 Å, 142.00 142.00 54.82°
Sites, in units of the cell vectors:
Ba 0.000 0.000 0.000
Na 0.701 0.701 0.000
Tl 0.326 0.326 0.000

Version x
The following is a PBE calculation of BaNaTl after structural relaxation, from the Alexandria database.

Computed properties:
Size of the total moment: 0.0 Bohr magnetons per cell
Symmetry: P-3m1, No. 164
Crystal system: trigonal

Cell: 5.474 5.474 9.456 Å, 90.00 90.00 120.00°
Sites, in units of the cell vectors:
Ba 0.000 0.000 0.218
Ba 0.000 0.000 0.782
Na 0.333 0.667 0.547
Na 0.667 0.333 0.453
Tl 0.333 0.667 0.951
Tl 0.667 0.333 0.049

Energy ordering: version w at the bottom, the next structure 1.8 kJ/mol of atoms above.

Version w
The following is a PBE calculation of BaNaTl after structural relaxation, from the Alexandria database.

Computed properties:
Size of the total moment: 1.0 Bohr magnetons per cell
Symmetry: F-43m, No. 216
Crystal system: cubic

Cell: 5.740 5.740 5.740 Å, 60.00 60.00 60.00°
Sites, in units of the cell vectors:
Ba 0.000 0.000 0.000
Na 0.500 0.500 0.500
Tl 0.250 0.250 0.250

Version x
The following is a PBE calculation of BaNaTl after structural relaxation, from the Alexandria database.

Computed properties:
Size of the total moment: 0.0 Bohr magnetons per cell
Symmetry: P3m1, No. 156
Crystal system: trigonal

Cell: 5.675 5.675 4.013 Å, 90.00 90.00 120.00°
Sites, in units of the cell vectors:
Ba 0.000 0.000 0.000
Na 0.333 0.667 0.499
Tl 0.667 0.333 0.501

Energy ordering: version x at the bottom, the next structure 10.2 kJ/mol of atoms above.

Version w
The following is a PBE calculation of Ba3NaTl after structural relaxation, from the Alexandria database.

Computed properties:
Size of the total moment: 0.8 Bohr magnetons per cell
Symmetry: Cmce, No. 64
Crystal system: orthorhombic

Cell: 10.437 10.437 9.792 Å, 90.00 90.00 82.69°
Sites, in units of the cell vectors:
Ba 0.031 0.690 0.408
Ba 0.067 0.933 0.810
Ba 0.190 0.531 0.908
Ba 0.310 0.969 0.408
Ba 0.433 0.567 0.310
Ba 0.469 0.810 0.908
Ba 0.531 0.190 0.092
Ba 0.567 0.433 0.690
Ba 0.690 0.031 0.592
Ba 0.810 0.469 0.092
Ba 0.933 0.067 0.190
Ba 0.969 0.310 0.592
Na 0.176 0.324 0.250
Na 0.324 0.176 0.750
Na 0.676 0.824 0.250
Na 0.824 0.676 0.750
Tl 0.198 0.802 0.128
Tl 0.302 0.698 0.628
Tl 0.698 0.302 0.372
Tl 0.802 0.198 0.872

Version x
The following is a PBE calculation of Ba3NaTl after structural relaxation, from the Alexandria database.

Computed properties:
Size of the total moment: 0.0 Bohr magnetons per cell
Symmetry: Cmcm, No. 63
Crystal system: orthorhombic

Cell: 12.498 12.498 6.227 Å, 90.00 90.00 151.17°
Sites, in units of the cell vectors:
Ba 0.070 0.930 0.750
Ba 0.249 0.751 0.750
Ba 0.427 0.573 0.750
Ba 0.573 0.427 0.250
Ba 0.751 0.249 0.250
Ba 0.930 0.070 0.250
Na 0.339 0.661 0.250
Na 0.661 0.339 0.750
Tl 0.156 0.844 0.250
Tl 0.844 0.156 0.750

Version y
The following is a PBE calculation of Ba3NaTl after structural relaxation, from the Alexandria database.

Computed properties:
Size of the total moment: 0.0 Bohr magnetons per cell
Symmetry: Pm-3m, No. 221
Crystal system: cubic

Cell: 6.810 6.810 6.810 Å, 90.00 90.00 90.00°
Sites, in units of the cell vectors:
Ba 0.000 0.000 0.500
Ba 0.000 0.500 0.000
Ba 0.500 0.000 0.000
Na 0.500 0.500 0.500
Tl 0.000 0.000 0.000

Energy ordering: version x at the bottom, the next structure 6.2 kJ/mol of atoms above.